1.
## BPt2S (meta-GGA SCAN)

Data for a crystal of BPt2S relaxed with PBEsol.

Summary:
Crystal system: cubic
ΔE_f (raw), eV/atom: 0.797

a b c (Å): 4.164 4.164 4.164
angles (deg): 60.00 60.00 60.00
Element x y z (fractional)
B 0.000 0.000 0.000
Pt 0.250 0.250 0.250
Pt 0.750 0.750 0.750
S 0.500 0.500 0.500

***

2.
## B2Pt2S (meta-GGA SCAN)

Data for a crystal of B2Pt2S relaxed with PBEsol.

Summary:
Crystal system: tetragonal
ΔE_f (raw), eV/atom: 0.732

a b c (Å): 6.708 6.708 2.628
angles (deg): 90.00 90.00 90.00
Element x y z (fractional)
B 0.144 0.356 0.000
B 0.356 0.856 0.000
B 0.644 0.144 0.000
B 0.856 0.644 0.000
Pt 0.142 0.642 0.500
Pt 0.358 0.142 0.500
Pt 0.642 0.858 0.500
Pt 0.858 0.358 0.500
S 0.000 0.000 0.000
S 0.500 0.500 0.000

***

3.
## ZrBSb2Pt (meta-GGA SCAN)

Data for a crystal of ZrBSb2Pt relaxed with PBEsol.

Summary:
Crystal system: tetragonal
ΔE_f (raw), eV/atom: 0.240

a b c (Å): 5.332 5.332 3.875
angles (deg): 90.00 90.00 90.00
Element x y z (fractional)
Zr 0.000 0.000 0.000
B 0.500 0.500 0.000
Sb 0.000 0.500 0.500
Sb 0.500 0.000 0.500
Pt 0.500 0.500 0.500